{
  "formula": "Eu3WCl3O6",
  "functional": "GGA+U",
  "state": "optimized geometry",
  "lattice_angstrom": [[9.404, 0.000, 0.000], [-4.702, 8.144, 0.000], [0.000, 0.000, 5.368]],
  "species": ["O", "O", "O", "O", "O", "O", "O", "O", "O", "O", "O", "O", "Eu", "Eu", "Eu", "Eu", "Eu", "Eu", "Cl", "Cl", "Cl", "Cl", "Cl", "Cl", "W", "W"],
  "fractional_positions": [[0.160, 0.635, 0.517], [0.160, 0.635, 0.983], [0.525, 0.160, 0.483], [0.365, 0.525, 0.517], [0.475, 0.840, 0.517], [0.840, 0.365, 0.483], [0.635, 0.475, 0.483], [0.475, 0.840, 0.983], [0.525, 0.160, 0.017], [0.635, 0.475, 0.017], [0.840, 0.365, 0.017], [0.365, 0.525, 0.983], [0.090, 0.403, 0.250], [0.313, 0.910, 0.250], [0.403, 0.313, 0.750], [0.687, 0.090, 0.750], [0.910, 0.597, 0.750], [0.597, 0.687, 0.250], [0.950, 0.757, 0.250], [0.050, 0.243, 0.750], [0.807, 0.050, 0.250], [0.193, 0.950, 0.750], [0.757, 0.807, 0.750], [0.243, 0.193, 0.250], [0.333, 0.667, 0.750], [0.667, 0.333, 0.250]],
  "e_tot_ev_per_atom": -7.962,
  "spacegroup": "P6_3/m, No. 176"
}